Record 1
YMo2Se (PBE, relaxed); VASP energy = -7.50 eV/atom; spin magnetization = 0.000 μB per formula unit; raw formation energy = 0.41 eV/atom
1.0
5.388 0.000 0.000
0.000 9.006 0.000
0.000 0.000 3.147
Y Mo Se
2 4 2
direct
0.000 0.000 0.000
0.500 0.500 0.000
0.250 0.250 0.500
0.250 0.750 0.500
0.750 0.250 0.500
0.750 0.750 0.500
0.000 0.500 0.000
0.500 0.000 0.000

Record 2
K2PrI4 (PBE, relaxed); VASP energy = -3.14 eV/atom; spin magnetization = 0.543 μB per formula unit; raw formation energy = -1.26 eV/atom
1.0
6.247 0.000 0.000
0.000 6.247 0.000
0.000 0.000 18.028
K Pr I
4 2 8
direct
0.000 0.000 0.133
0.000 0.000 0.867
0.500 0.500 0.367
0.500 0.500 0.633
0.000 0.000 0.500
0.500 0.500 0.000
0.000 0.000 0.323
0.000 0.000 0.677
0.000 0.500 0.000
0.000 0.500 0.500
0.500 0.000 0.000
0.500 0.000 0.500
0.500 0.500 0.177
0.500 0.500 0.823

Record 3
LaCeNd2Er (PBE, relaxed); VASP energy = -4.73 eV/atom; DFT formation energy = 261 meV/atom; spin magnetization = 0.678 μB per formula unit
1.0
8.653 0.000 0.000
0.000 6.285 0.000
-0.280 0.000 6.232
La Ce Nd Er
2 2 4 2
direct
0.000 0.000 0.000
0.000 0.000 0.500
0.000 0.463 0.250
0.000 0.537 0.750
0.310 0.307 0.738
0.310 0.693 0.238
0.690 0.307 0.762
0.690 0.693 0.262
0.500 0.177 0.250
0.500 0.823 0.750